# 1
Material: NbV2Ga3
Method: DFT, PBE
State: optimized geometry

Cell: 5.050 5.050 4.315 Å, 90.00 90.00 120.16°
Element x y z (fractional)
Nb 0.000 0.000 0.000
V 0.334 0.666 0.000
V 0.666 0.334 0.000
Ga 0.000 0.500 0.500
Ga 0.500 0.000 0.500
Ga 0.500 0.500 0.500

Output
Electronic total energy (hartree per atom): -0.2285
Energy relative to the lowest polymorph listed for this composition (eV/atom): 0.226
Formation energy from the elements (eV per formula unit): 0.09
Symmetry: Cmmm (65)


# 2
Material: Tl2VGa4
Method: DFT, PBE
State: optimized geometry

Cell: 8.067 8.067 8.067 Å, 144.00 144.00 51.83°
Element x y z (fractional)
Tl 0.134 0.134 0.000
Tl 0.866 0.866 0.000
V 0.500 0.500 0.000
Ga 0.000 0.500 0.500
Ga 0.333 0.333 0.000
Ga 0.500 0.000 0.500
Ga 0.667 0.667 0.000

Output
Electronic total energy (hartree per atom): -0.1252
Formation energy from the elements (eV per formula unit): 2.12
Symmetry: I4/mmm (139)


# 3
Material: Tb2Be15Ni2
Method: DFT, PBE
State: optimized geometry

Cell: 5.896 5.896 5.896 Å, 82.87 82.87 82.87°
Element x y z (fractional)
Tb 0.157 0.157 0.157
Tb 0.843 0.843 0.843
Be 0.000 0.500 0.500
Be 0.166 0.166 0.652
Be 0.166 0.652 0.166
Be 0.227 0.500 0.773
Be 0.227 0.773 0.500
Be 0.348 0.834 0.834
Be 0.500 0.000 0.500
Be 0.500 0.227 0.773
Be 0.500 0.500 0.000
Be 0.500 0.773 0.227
Be 0.652 0.166 0.166
Be 0.773 0.227 0.500
Be 0.773 0.500 0.227
Be 0.834 0.348 0.834
Be 0.834 0.834 0.348
Ni 0.397 0.397 0.397
Ni 0.603 0.603 0.603

Output
Electronic total energy (hartree per atom): -0.1556
Formation energy from the elements (eV per formula unit): -3.75
Symmetry: R-3m (166)


# 4
Material: KGa2Cu2
Method: DFT, PBE
State: optimized geometry

Cell: 8.136 8.136 2.671 Å, 90.00 90.00 90.00°
Element x y z (fractional)
K 0.000 0.000 0.000
K 0.500 0.500 0.000
Ga 0.135 0.365 0.500
Ga 0.365 0.865 0.500
Ga 0.635 0.135 0.500
Ga 0.865 0.635 0.500
Cu 0.150 0.650 0.000
Cu 0.350 0.150 0.000
Cu 0.650 0.850 0.000
Cu 0.850 0.350 0.000

Output
Electronic total energy (hartree per atom): -0.1107
Energy relative to the lowest polymorph listed for this composition (eV/atom): 0.043
Formation energy from the elements (eV per formula unit): 0.29
Symmetry: P4/mbm (127)


# 5
Material: Dy3HoEr2Te6
Method: DFT, PBE
State: optimized geometry

Cell: 9.701 9.701 8.719 Å, 103.17 103.17 25.71°
Element x y z (fractional)
Dy 0.000 0.000 0.000
Dy 0.334 0.334 0.667
Dy 0.666 0.666 0.333
Ho 0.000 0.000 0.500
Er 0.334 0.334 0.168
Er 0.666 0.666 0.832
Te 0.167 0.167 0.585
Te 0.168 0.168 0.081
Te 0.499 0.499 0.251
Te 0.501 0.501 0.749
Te 0.832 0.832 0.919
Te 0.833 0.833 0.415

Output
Electronic total energy (hartree per atom): -0.1879
Formation energy from raw total energies (meV per atom): -1250
Symmetry: C2/m (12)


# 6
Material: AsOs2Au
Method: DFT, PBE
State: optimized geometry

Cell: 3.023 3.023 6.738 Å, 90.00 90.00 90.00°
Element x y z (fractional)
As 0.000 0.000 0.000
Os 0.500 0.500 0.212
Os 0.500 0.500 0.788
Au 0.000 0.000 0.500

Output
Electronic total energy (hartree per atom): -0.2573
Formation energy from the elements (eV per formula unit): 2.38
Symmetry: P4/mmm (123)


Number 2 is which compound?
Tl2VGa4


Which of these has the highest electronic total energy?
KGa2Cu2